Here is a geometry-optimized Re2Mo3C structure from the Open Quantum Materials Database. Energies are from GGA-PBE.

Lattice parameters (Å, degrees): 6.932 6.932 6.932 90.00 90.00 90.00
Atoms (fractional coordinates):
Re  0.068  0.068  0.068
Re  0.182  0.818  0.318
Re  0.318  0.182  0.818
Re  0.432  0.932  0.568
Re  0.568  0.432  0.932
Re  0.682  0.682  0.682
Re  0.818  0.318  0.182
Re  0.932  0.568  0.432
Mo  0.045  0.875  0.705
Mo  0.125  0.205  0.455
Mo  0.205  0.455  0.125
Mo  0.295  0.545  0.625
Mo  0.375  0.795  0.955
Mo  0.455  0.125  0.205
Mo  0.545  0.625  0.295
Mo  0.625  0.295  0.545
Mo  0.705  0.045  0.875
Mo  0.795  0.955  0.375
Mo  0.875  0.705  0.045
Mo  0.955  0.375  0.795
C  0.125  0.625  0.875
C  0.375  0.375  0.375
C  0.625  0.875  0.125
C  0.875  0.125  0.625

Values from the calculation:
The calculated density comes out at 13.403 g/cm³. As for the final energy: -0.40763 hartree per atom.

Here is a geometry-optimized TcNiBiPt structure from the Open Quantum Materials Database. Energies are from GGA-PBE.

Lattice parameters (Å, degrees): 4.616 4.616 4.616 60.00 60.00 60.00
Atoms (fractional coordinates):
Tc  0.000  0.000  0.000
Ni  0.750  0.750  0.750
Bi  0.500  0.500  0.500
Pt  0.250  0.250  0.250

Values from the calculation:
The energy above the lowest structure with this stoichiometry is 123 meV per atom. The calculated density comes out at 13.389 g/cm³. As for the final energy: -0.22333 hartree per atom.

Here is a geometry-optimized KNdSmCo2 structure from the Open Quantum Materials Database. Energies are from GGA-PBE.

Lattice parameters (Å, degrees): 3.939 9.374 9.374 24.50 90.00 90.00
Atoms (fractional coordinates):
K  0.000  0.000  0.000
Nd  0.500  0.668  0.668
Sm  0.500  0.335  0.335
Co  0.000  0.225  0.225
Co  0.000  0.781  0.781

Values from the calculation:
The calculated density comes out at 5.224 g/cm³. As for the final energy: -0.17959 hartree per atom.

Here is a geometry-optimized Gd2TmNiSn3Ir2 structure from the Open Quantum Materials Database. Energies are from GGA-PBE.

Lattice parameters (Å, degrees): 3.828 7.513 7.513 119.74 90.00 90.00
Atoms (fractional coordinates):
Gd  0.000  0.203  0.797
Gd  0.000  0.797  0.203
Tm  0.000  0.390  0.390
Ni  0.000  0.795  0.795
Sn  0.500  0.053  0.053
Sn  0.500  0.541  0.795
Sn  0.500  0.795  0.541
Ir  0.500  0.133  0.462
Ir  0.500  0.462  0.133

Values from the calculation:
The calculated density comes out at 11.352 g/cm³. As for the final energy: -0.22936 hartree per atom.